This record from Alexandria describes a relaxed Bi4Mo6O19 crystal. The functional is PBE+U.

The value obtained for the total energy is -6.681 eV per atom.

The structure belongs to space group I23 (No. 197); the cell edges are 9.3664, 9.3664 and 9.3664 Å and the angles 90.00°, 90.00° and 90.00°. The asymmetric unit holds Bi at (0.1482, 0.1482, 0.8518), Mo at (0.0000, 0.3363, 0.5000), O at (0.0000, 0.0000, 0.0000), O at (0.0000, 0.0000, 0.3517) and O at (0.0368, 0.3230, 0.7118).